Here is a relaxed CeZn3Ge crystal from the Alexandria database. Energies are from PBE-GGA.

Lattice parameters (Å, degrees): 5.9118 6.1105 5.9881 119.34 90.00 90.00
Last column: nearest neighbours and their distance in Å.
Fractional positions:
Ce (0.7500, 0.4954, 0.2477)  4 Ge 3.18-3.19, 12 Zn 3.22-3.40
Ce (0.2500, 0.5046, 0.7523)  4 Ge 3.18-3.19, 12 Zn 3.22-3.40
Zn (0.0000, 0.0000, 0.2536)  2 Zn 2.51, 2 Ge 2.59
Zn (0.7500, 0.7462, 0.8731)  1 Ge 2.45, 4 Zn 2.51
Zn (0.5000, 0.0000, 0.2536)  2 Zn 2.51, 2 Ge 2.59
Zn (0.5000, 0.0000, 0.7464)  2 Zn 2.51, 2 Ge 2.59
Zn (0.2500, 0.2538, 0.1269)  1 Ge 2.45, 4 Zn 2.51
Zn (0.0000, 0.0000, 0.7464)  2 Zn 2.51, 2 Ge 2.59
Ge (0.7500, 0.2866, 0.6433)  5 Zn 2.45-2.59
Ge (0.2500, 0.7134, 0.3567)  5 Zn 2.45-2.59

Output
formation enthalpy at 0 K	-37.4	kJ per mole of atoms
mass density	7.20	g cm⁻³
space-group type	No. 63
electronic total energy	-32.62	eV per cell